[1]
{
  "formula": "TbPaRu2",
  "functional": "GGA-PBE",
  "state": "optimized geometry",
  "e_form_mev_per_atom": -382.0,
  "total_energy_ev_per_cell": -34.21,
  "mass_density_g_cm3": 12.223,
  "space_group": "Fm-3m, No. 225",
  "cell": [[4.845, 0.000, 0.000], [2.423, 4.196, 0.000], [2.423, 1.399, 3.956]],
  "species": ["Ru", "Tb", "Pa", "Ru"],
  "frac_coords": [[0.750, 0.750, 0.750], [0.000, 0.000, 0.000], [0.500, 0.500, 0.500], [0.250, 0.250, 0.250]]
}


[2]
{
  "formula": "TbPa2Ru3",
  "functional": "GGA-PBE",
  "state": "optimized geometry",
  "e_form_mev_per_atom": -490.1,
  "total_energy_ev_per_cell": -108.78,
  "mass_density_g_cm3": 12.122,
  "space_group": "P-1, No. 2",
  "cell": [[5.448, -0.473, 0.559], [-3.282, 5.765, -2.803], [0.778, -0.711, 8.849]],
  "species": ["Ru", "Ru", "Tb", "Ru", "Ru", "Ru", "Tb", "Pa", "Pa", "Ru", "Pa", "Pa"],
  "frac_coords": [[0.672, 0.526, 0.357], [0.963, 0.623, 0.915], [0.924, 0.029, 0.711], [0.306, 0.892, 0.727], [0.694, 0.108, 0.273], [0.328, 0.474, 0.643], [0.076, 0.971, 0.289], [0.299, 0.656, 0.381], [0.538, 0.747, 0.971], [0.037, 0.377, 0.085], [0.462, 0.253, 0.029], [0.701, 0.344, 0.619]]
}


[3]
{
  "formula": "Tb3PaRu3",
  "functional": "GGA-PBE",
  "state": "optimized geometry",
  "e_form_mev_per_atom": -387.8,
  "total_energy_ev_per_cell": -107.86,
  "mass_density_g_cm3": 10.411,
  "space_group": "C2/m, No. 12",
  "cell": [[-4.177, -3.599, -4.387], [-3.383, -3.816, 4.862], [-5.092, 4.159, 0.535]],
  "species": ["Ru", "Ru", "Tb", "Pa", "Tb", "Ru", "Ru", "Ru", "Ru", "Tb", "Pa", "Tb", "Tb", "Tb"],
  "frac_coords": [[0.492, 0.014, 0.232], [0.014, 0.492, 0.232], [0.813, 0.187, 0.500], [0.206, 0.206, 0.087], [0.295, 0.705, 0.000], [0.986, 0.508, 0.768], [0.508, 0.986, 0.768], [0.069, 0.069, 0.803], [0.931, 0.931, 0.197], [0.687, 0.687, 0.460], [0.794, 0.794, 0.913], [0.313, 0.313, 0.540], [0.705, 0.295, 0.000], [0.187, 0.813, 0.500]]
}